[1]
KThTeSe: relaxed, GGA-PBE.

* calculated volume: 136 Å³ per cell
* space group: R3m (160)
* formation energy from raw total energies: -1.3203 eV per atom
* calculated total energy: -20.42 eV/cell

a b c (Å): 8.8459 8.8459 8.8459
angles (deg): 28.11 28.11 28.11
Last column: nearest neighbours and their distance in Å.
Fractional coordinates of all 4 atoms:
K  0.0000  0.0000  0.0000  3 Se 3.44, 3 Te 3.47
Th  0.1607  0.1607  0.1607  3 Se 3.01, 3 Te 3.17
Te  0.5716  0.5716  0.5716  3 Th 3.17, 3 K 3.47
Se  0.7602  0.7602  0.7602  3 Th 3.01



[2]
Nd4GaNiI2: relaxed, GGA-PBE.

* calculated volume: 248 Å³ per cell
* space group: P2/m (10)
* formation energy from raw total energies: -0.6779 eV per atom
* calculated total energy: -36.40 eV/cell

a b c (Å): 7.6774 4.0825 8.2306
angles (deg): 90.00 106.17 90.00
Last column: nearest neighbours and their distance in Å.
Fractional coordinates of all 8 atoms:
Nd  0.2140  0.0000  0.1853  2 Ni 2.79, 1 Ga 3.00
Nd  0.2506  0.5000  0.7935  1 Ni 2.90, 2 Ga 2.98
Nd  0.7494  0.5000  0.2065  1 Ni 2.90, 2 Ga 2.98
Nd  0.7860  0.0000  0.8147  2 Ni 2.79, 1 Ga 3.00
Ga  0.5000  0.0000  0.0000  6 Nd 2.98-3.00
Ni  0.0000  0.5000  0.0000  6 Nd 2.79-2.90
I  0.0000  0.0000  0.5000  6 Nd 3.33-3.43
I  0.5000  0.5000  0.5000  6 Nd 3.48-3.54



[3]
ZnF3: relaxed, GGA-PBE.

* calculated volume: 58 Å³ per cell
* space group: R-3m (166)
* formation energy from raw total energies: -1.4522 eV per atom
* calculated total energy: -12.70 eV/cell

a b c (Å): 6.5770 6.5770 6.5770
angles (deg): 28.60 28.60 28.60
Last column: nearest neighbours and their distance in Å.
Fractional coordinates of all 4 atoms:
Zn  0.0000  0.0000  0.0000  6 F 2.09
F  0.3817  0.3817  0.3817  3 Zn 2.09, 1 F 2.24
F  0.5000  0.5000  0.5000  2 F 2.24
F  0.6183  0.6183  0.6183  3 Zn 2.09, 1 F 2.24



[4]
Mg3BiPt: relaxed, GGA-PBE.

* calculated volume: 231 Å³ per cell
* space group: P2_1/m (11)
* energy relative to the elements: -211 kJ/mol of formula units
* calculated total energy: -33.79 eV/cell

a b c (Å): 6.4042 4.5016 8.5189
angles (deg): 90.00 110.11 90.00
Last column: nearest neighbours and their distance in Å.
Fractional coordinates of all 10 atoms:
Mg  0.0648  0.2500  0.2934  3 Pt 2.72-2.74, 1 Mg 3.02
Mg  0.2478  0.2500  0.9515  1 Pt 2.61
Mg  0.3178  0.7500  0.5758  3 Pt 2.70-2.71, 1 Mg 3.02
Mg  0.6822  0.2500  0.4242  3 Pt 2.70-2.71, 1 Mg 3.02
Mg  0.7522  0.7500  0.0485  1 Pt 2.61
Mg  0.9352  0.7500  0.7066  3 Pt 2.72-2.74, 1 Mg 3.02
Bi  0.3698  0.7500  0.2124  8 Mg 3.07-3.22, 1 Pt 3.12
Bi  0.6302  0.2500  0.7876  8 Mg 3.07-3.22, 1 Pt 3.12
Pt  0.1132  0.2500  0.6257  7 Mg 2.61-2.74
Pt  0.8868  0.7500  0.3743  7 Mg 2.61-2.74



[5]
Rb2ScV: relaxed, GGA-PBE.

* calculated volume: 170 Å³ per cell
* space group: Fm-3m (225)
* energy relative to the elements: 551 kJ/mol of formula units
* calculated total energy: -11.67 eV/cell

a b c (Å): 6.2189 6.2189 6.2189
angles (deg): 60.00 60.00 60.00
Last column: nearest neighbours and their distance in Å.
Fractional coordinates of all 4 atoms:
Rb  0.2500  0.2500  0.2500  4 V 3.81, 4 Sc 3.81
Rb  0.7500  0.7500  0.7500  4 Sc 3.81, 4 V 3.81
Sc  0.0000  0.0000  0.0000  8 Rb 3.81
V  0.5000  0.5000  0.5000  8 Rb 3.81



[6]
CeSm3Pu2P6: relaxed, GGA-PBE.

* calculated volume: 285 Å³ per cell
* space group: C2/m (12)
* energy relative to the elements: -1643 kJ/mol of formula units
* calculated total energy: -98.24 eV/cell

a b c (Å): 7.0460 7.0460 7.0351
angles (deg): 99.61 99.61 119.99
Last column: nearest neighbours and their distance in Å.
Fractional coordinates of all 12 atoms:
Ce  0.0000  0.0000  0.0000  6 P 2.86
Sm  0.1659  0.8341  0.5000  6 P 2.89-2.92
Sm  0.5000  0.5000  0.5000  6 P 2.89-2.92
Sm  0.8341  0.1659  0.5000  6 P 2.89-2.92
Pu  0.3333  0.6667  0.0000  6 P 2.83
Pu  0.6667  0.3333  0.0000  6 P 2.83
P  0.0805  0.4173  0.2412  2 Pu 2.83, 1 Ce 2.86, 3 Sm 2.89-2.92
P  0.2566  0.2566  0.7589  2 Pu 2.83, 1 Ce 2.86, 3 Sm 2.89-2.91
P  0.4173  0.0805  0.2412  2 Pu 2.83, 1 Ce 2.86, 3 Sm 2.89-2.92
P  0.5827  0.9195  0.7588  2 Pu 2.83, 1 Ce 2.86, 3 Sm 2.89-2.92
P  0.7434  0.7434  0.2411  2 Pu 2.83, 1 Ce 2.86, 3 Sm 2.89-2.91
P  0.9195  0.5827  0.7588  2 Pu 2.83, 1 Ce 2.86, 3 Sm 2.89-2.92